[1]
DFT (PBE) results for a geometry-optimized K2ZrIn structure.

Unit cell a=8.0080 b=8.0080 c=8.0080 alpha=90.00 beta=90.00 gamma=90.00
Space group F-43m (No. 216)
One atom of each set of equivalent atoms:
K1 0.0000 0.0000 0.0000
K2 0.2500 0.2500 0.2500
Zr1 0.2500 0.2500 0.7500
In1 0.0000 0.0000 0.5000

Summary:
- Fermi-level density of states (states/eV per atom) = 1.167
- E_form (kJ/mol of atoms) = 63.9

---

[2]
DFT (PBE) results for a geometry-optimized KZr2In structure.

Unit cell a=3.1955 b=5.5855 c=5.9063 alpha=90.00 beta=90.00 gamma=90.00
Space group Pmmm (No. 47)
One atom of each set of equivalent atoms:
K1 0.0000 0.0000 0.0000
Zr1 0.0000 0.5000 0.5000
Zr2 0.5000 0.0000 0.5000
In1 0.5000 0.5000 0.0000

Summary:
- Fermi-level density of states (states/eV per atom) = 1.273
- E_form (kJ/mol of atoms) = 50.7

---

[3]
DFT (PBE) results for a geometry-optimized La4In structure.

Unit cell a=7.4132 b=7.4132 c=7.4132 alpha=90.00 beta=90.00 gamma=90.00
Space group Im-3m (No. 229)
One atom of each set of equivalent atoms:
La1 0.2500 0.2500 0.2500
In1 0.0000 0.0000 0.0000

Summary:
- distance to the lowest polymorph of the same formula (meV/atom) = 472
- Fermi-level density of states (states/eV per atom) = 1.817
- E_form (kJ/mol of atoms) = 22.3

---

[4]
DFT (PBE) results for a geometry-optimized LaIn4 structure.

Unit cell a=7.3170 b=7.3170 c=7.3170 alpha=90.00 beta=90.00 gamma=90.00
Space group Im-3m (No. 229)
One atom of each set of equivalent atoms:
La1 0.0000 0.0000 0.0000
In1 0.2500 0.2500 0.2500

Summary:
- Fermi-level density of states (states/eV per atom) = 1.577
- E_form (kJ/mol of atoms) = 27.7

---

[5]
DFT (PBE) results for a geometry-optimized LaIn2 structure.

Unit cell a=4.3758 b=4.3758 c=5.1996 alpha=90.00 beta=90.00 gamma=90.00
Space group P4/mmm (No. 123)
One atom of each set of equivalent atoms:
La1 0.0000 0.0000 0.0000
In1 0.0000 0.5000 0.5000

Summary:
- Fermi-level density of states (states/eV per atom) = 1.424
- E_form (kJ/mol of atoms) = -17.1

---

[6]
DFT (PBE) results for a geometry-optimized La5In4 structure.

Unit cell a=11.6088 b=5.0814 c=11.3748 alpha=90.00 beta=117.52 gamma=90.00
Space group C2/m (No. 12)
One atom of each set of equivalent atoms:
La1 0.0000 0.0000 0.0000
La2 0.0968 0.0000 0.4002
La3 0.2435 0.0000 0.8297
In1 0.0475 0.5000 0.8355
In2 0.1277 0.5000 0.6214

Summary:
- distance to the lowest polymorph of the same formula (meV/atom) = 0
- Fermi-level density of states (states/eV per atom) = 1.074
- E_form (kJ/mol of atoms) = -41.3